# 1
MgZr2Pb | PBE | optimized geometry

Calculated values
- Formation energy: -83 meV per atom
- Raw total energy: -0.418 Ry per atom
- Spin magnetization: 0.000 μB per atom
- Theoretical density: 7.48 g/cm3
- N(E_F): 6.062 states/eV/cell

Cell and atoms, written as CIF:
```
data_MgZr2Pb
_chemical_formula_sum 'Mg2 Zr4 Pb2'
_space_group_name_H-M_alt 'I -4 m 2'
_space_group_IT_number 119
_space_group_name_Hall 'I -4 -2'
_cell_length_a 4.3205
_cell_length_b 4.3205
_cell_length_c 9.8458
_cell_angle_alpha 90.00
_cell_angle_beta 90.00
_cell_angle_gamma 90.00
loop_
_atom_site_label
_atom_site_type_symbol
_atom_site_fract_x
_atom_site_fract_y
_atom_site_fract_z
Mg1 Mg 0.0000 0.0000 0.0000
Zr1 Zr 0.0000 0.0000 0.5000
Zr2 Zr 0.0000 0.5000 0.2500
Pb1 Pb 0.0000 0.5000 0.7500
```

# 2
GeSbN2 | PBE | optimized geometry

Calculated values
- E above lowest polymorph: 941 meV/atom
- Formation energy (no corrections): 1.3677 eV/atom
- Raw total energy: -0.366 Ry per atom
- Spin magnetization: 0.000 μB per atom
- Theoretical density: 7.21 g/cm3
- N(E_F): 5.624 states/eV/cell

Cell and atoms, written as CIF:
```
data_GeSbN2
_chemical_formula_sum 'Ge4 Sb4 N8'
_space_group_name_H-M_alt 'F m -3 m'
_space_group_IT_number 225
_space_group_name_Hall '-F 4 2 3'
_cell_length_a 5.8959
_cell_length_b 5.8959
_cell_length_c 5.8959
_cell_angle_alpha 90.00
_cell_angle_beta 90.00
_cell_angle_gamma 90.00
loop_
_atom_site_label
_atom_site_type_symbol
_atom_site_fract_x
_atom_site_fract_y
_atom_site_fract_z
Ge1 Ge 0.0000 0.0000 0.0000
Sb1 Sb 0.0000 0.0000 0.5000
N1 N 0.2500 0.2500 0.2500
```

# 3
CdAg2C | PBE | optimized geometry

Calculated values
- E above lowest polymorph: 0 meV/atom
- Formation energy: 1160 meV per atom
- Raw total energy: -0.206 Ry per atom
- Spin magnetization: 0.000 μB per atom
- Theoretical density: 6.74 g/cm3
- N(E_F): 5.685 states/eV/cell

Cell and atoms, written as CIF:
```
data_CdAg2C
_chemical_formula_sum 'Cd4 Ag8 C4'
_space_group_name_H-M_alt 'I -4 2 d'
_space_group_IT_number 122
_space_group_name_Hall 'I -4 2bw'
_cell_length_a 5.1253
_cell_length_b 5.1253
_cell_length_c 12.7623
_cell_angle_alpha 90.00
_cell_angle_beta 90.00
_cell_angle_gamma 90.00
loop_
_atom_site_label
_atom_site_type_symbol
_atom_site_fract_x
_atom_site_fract_y
_atom_site_fract_z
Cd1 Cd 0.0000 0.0000 0.0000
Ag1 Ag 0.1012 0.2500 0.6250
C1 C 0.0000 0.0000 0.5000
```

# 4
Sr5Zr3F22 | PBE | optimized geometry

Calculated values
- Formation energy (no corrections): -3.8499 eV/atom
- Raw total energy: -0.467 Ry per atom
- Spin magnetization: 0.009 μB per atom
- Theoretical density: 4.43 g/cm3
- N(E_F): 0.000 states/eV/cell

Cell and atoms, written as CIF:
```
data_Sr5Zr3F22
_chemical_formula_sum 'Sr10 Zr6 F44'
_space_group_name_H-M_alt 'P 21 21 2'
_space_group_IT_number 18
_cell_length_a 7.7340
_cell_length_b 10.4550
_cell_length_c 10.4727
_cell_angle_alpha 90.00
_cell_angle_beta 90.00
_cell_angle_gamma 90.00
loop_
_space_group_symop_operation_xyz
'x,y,z'
'-x,-y,z'
'x+1/2,-y+1/2,-z'
'-x+1/2,y+1/2,-z'
loop_
_atom_site_label
_atom_site_type_symbol
_atom_site_fract_x
_atom_site_fract_y
_atom_site_fract_z
Sr1 Sr 0.0000 0.0000 0.0170
Sr2 Sr 0.0000 0.0000 0.4616
Sr3 Sr 0.0000 0.5000 0.9384
Sr4 Sr 0.2355 0.7064 0.2547
Zr1 Zr 0.0000 0.5000 0.5384
Zr2 Zr 0.2472 0.7885 0.7723
F1 F 0.0113 0.7990 0.8734
F2 F 0.0273 0.3425 0.1255
F3 F 0.0636 0.1587 0.2956
F4 F 0.0678 0.8489 0.6346
F5 F 0.0880 0.3892 0.3714
F6 F 0.0901 0.6112 0.7051
F7 F 0.2129 0.3918 0.6009
F8 F 0.2141 0.6063 0.4721
F9 F 0.2174 0.9839 0.8305
F10 F 0.2360 0.8867 0.1129
F11 F 0.2400 0.1523 0.0781
```

# 5
TbTi2Re | PBE | optimized geometry

Calculated values
- Formation energy: -79 meV per atom
- Raw total energy: -0.610 Ry per atom
- Spin magnetization: 0.001 μB per atom
- Theoretical density: 9.37 g/cm3
- N(E_F): 4.998 states/eV/cell

Cell and atoms, written as CIF:
```
data_TbTi2Re
_chemical_formula_sum 'Tb1 Ti2 Re1'
_space_group_name_H-M_alt 'P 4/m m m'
_space_group_IT_number 123
_space_group_name_Hall '-P 4 2'
_cell_length_a 3.1893
_cell_length_b 3.1893
_cell_length_c 7.6823
_cell_angle_alpha 90.00
_cell_angle_beta 90.00
_cell_angle_gamma 90.00
loop_
_atom_site_label
_atom_site_type_symbol
_atom_site_fract_x
_atom_site_fract_y
_atom_site_fract_z
Tb1 Tb 0.0000 0.0000 0.0000
Ti1 Ti 0.5000 0.5000 0.3138
Re1 Re 0.0000 0.0000 0.5000
```

# 6
KAl6Ga2 | PBE | optimized geometry

Calculated values
- Formation energy: 29 meV per atom
- Raw total energy: -0.240 Ry per atom
- Spin magnetization: 0.000 μB per atom
- Theoretical density: 3.07 g/cm3
- N(E_F): 3.567 states/eV/cell

Cell and atoms, written as CIF:
```
data_KAl6Ga2
_chemical_formula_sum 'K1 Al6 Ga2'
_space_group_name_H-M_alt 'P 4/m m m'
_space_group_IT_number 123
_space_group_name_Hall '-P 4 2'
_cell_length_a 4.4934
_cell_length_b 4.4934
_cell_length_c 9.1113
_cell_angle_alpha 90.00
_cell_angle_beta 90.00
_cell_angle_gamma 90.00
loop_
_atom_site_label
_atom_site_type_symbol
_atom_site_fract_x
_atom_site_fract_y
_atom_site_fract_z
K1 K 0.0000 0.0000 0.0000
Al1 Al 0.0000 0.0000 0.5000
Al2 Al 0.0000 0.5000 0.3177
Al3 Al 0.5000 0.5000 0.5000
Ga1 Ga 0.5000 0.5000 0.1526
```

# 7
KHfCu2I8 | PBE | optimized geometry

Calculated values
- Formation energy (no corrections): -0.6146 eV/atom
- Raw total energy: -0.239 Ry per atom
- Spin magnetization: 0.000 μB per atom
- Theoretical density: 4.61 g/cm3
- N(E_F): 27.894 states/eV/cell

Cell and atoms, written as CIF:
```
data_KHfCu2I8
_chemical_formula_sum 'K2 Hf2 Cu4 I16'
_space_group_name_H-M_alt 'C 1 2/m 1'
_space_group_IT_number 12
_cell_length_a 12.0899
_cell_length_b 8.0215
_cell_length_c 10.1156
_cell_angle_alpha 90.00
_cell_angle_beta 92.03
_cell_angle_gamma 90.00
loop_
_space_group_symop_operation_xyz
'x,y,z'
'-x,-y,-z'
'-x,y,-z'
'x,-y,z'
'x+1/2,y+1/2,z'
'-x+1/2,-y+1/2,-z'
'-x+1/2,y+1/2,-z'
'x+1/2,-y+1/2,z'
loop_
_atom_site_label
_atom_site_type_symbol
_atom_site_fract_x
_atom_site_fract_y
_atom_site_fract_z
K1 K 0.0000 0.0000 0.0000
Hf1 Hf 0.0000 0.0000 0.5000
Cu1 Cu 0.1452 0.5000 0.2714
I1 I 0.0030 0.2508 0.7018
I2 I 0.2127 0.5000 0.0404
I3 I 0.2351 0.0000 0.5077
```

# 8
TcNiBr2 | PBE | optimized geometry

Calculated values
- E above lowest polymorph: 0 meV/atom
- Formation energy (no corrections): 0.1633 eV/atom
- Raw total energy: -0.346 Ry per atom
- Spin magnetization: 0.746 μB per atom
- Theoretical density: 5.61 g/cm3
- N(E_F): 0.913 states/eV/cell

Cell and atoms, written as CIF:
```
data_TcNiBr2
_chemical_formula_sum 'Tc2 Ni2 Br4'
_space_group_name_H-M_alt 'C 1 m 1'
_space_group_IT_number 8
_cell_length_a 6.2219
_cell_length_b 3.5932
_cell_length_c 8.6124
_cell_angle_alpha 90.00
_cell_angle_beta 103.46
_cell_angle_gamma 90.00
loop_
_space_group_symop_operation_xyz
'x,y,z'
'x,-y,z'
'x+1/2,y+1/2,z'
'x+1/2,-y+1/2,z'
loop_
_atom_site_label
_atom_site_type_symbol
_atom_site_fract_x
_atom_site_fract_y
_atom_site_fract_z
Tc1 Tc 0.0000 0.0000 0.0000
Ni1 Ni 0.2819 0.0000 0.8401
Br1 Br 0.0616 0.5000 0.6727
Br2 Br 0.2330 0.5000 0.2054
```